8
Lattice="5.3501 0.0000 0.0000 0.0000 5.3501 0.0000 2.6751 2.6751 8.5610" Properties=species:S:1:pos:R:3 comment="RbNb2Ru GGA-PBE optimized geometry" crystal_system=tetragonal ef_ev_per_atom=1.4997 e_above_lowest_polymorph_ev_per_fu=0.679 pbc="T T T"
Ru 0.0000 0.0000 0.0000
Ru 5.3501 2.6751 4.2805
Nb 5.3519 1.3375 2.1403
Nb 5.3484 4.0126 2.1403
Nb 4.0126 2.6733 6.4208
Nb 6.6877 2.6768 6.4208
Rb 2.6751 2.6751 0.0000
Rb 2.6751 5.3501 4.2805

=====

5
Lattice="4.9070 0.0000 0.0000 0.0000 4.9070 0.0000 0.0000 0.0000 4.9070" Properties=species:S:1:pos:R:3 comment="RbNbRu3 GGA-PBE optimized geometry" crystal_system=cubic ef_ev_per_atom=1.4767 e_above_lowest_polymorph_ev_per_fu=0.000 pbc="T T T"
Ru 0.0000 2.4535 0.0000
Ru 0.0000 0.0000 2.4535
Ru 2.4535 0.0000 0.0000
Nb 0.0000 0.0000 0.0000
Rb 2.4535 2.4535 2.4535

=====

4
Lattice="3.9883 -2.3573 1.0797 -0.0173 -4.7541 0.1635 2.2646 -2.5034 -3.3516" Properties=species:S:1:pos:R:3 comment="RbNb2Ru GGA-PBE optimized geometry" crystal_system=cubic ef_ev_per_atom=1.3300 e_above_lowest_polymorph_ev_per_fu=0.000 pbc="T T T"
Ru 3.1178 -4.8074 -1.0542
Nb 1.5589 -2.4037 -0.5271
Nb 4.6767 -7.2112 -1.5813
Rb 0.0000 0.0000 0.0000

=====

5
Lattice="-2.4060 -2.0857 3.8485 3.7557 -2.9624 0.7426 2.0352 3.3550 3.0907" Properties=species:S:1:pos:R:3 comment="RbNbRuS2 GGA-PBE optimized geometry" crystal_system=tetragonal formation_energy_uncorrected_ev_per_atom=0.037 pbc="T T T"
Ru 1.8778 -1.4812 0.3713
Nb 0.0000 0.0000 0.0000
S 1.0176 1.6775 1.5453
S -1.2030 -1.0429 1.9243
Rb 1.6924 -0.8465 3.8409

=====

12
Lattice="3.5645 0.0000 0.0000 0.0000 8.7365 0.1173 0.0000 -4.0684 8.7167" Properties=species:S:1:pos:R:3 comment="RbNbRuS3 GGA-PBE optimized geometry" crystal_system=monoclinic formation_energy_uncorrected_ev_per_atom=-0.902 pbc="T T T"
Rb 0.8911 1.0597 2.2522
Rb 2.6734 3.6083 6.5819
Nb 0.8911 5.4464 1.4527
Nb 2.6734 -0.7783 7.3813
Ru 0.8911 -1.7794 5.3984
Ru 2.6734 6.4475 3.4356
S 2.6734 7.1686 1.2045
S 0.8911 -2.5005 7.6296
S 0.8911 5.0627 3.9037
S 2.6734 -0.3946 4.9304
S 2.6734 3.5868 1.2423
S 0.8911 1.0812 7.5918

=====

5
Lattice="4.8038 0.0000 0.0000 0.0000 5.6617 0.0000 0.0000 0.0000 4.8038" Properties=species:S:1:pos:R:3 comment="RbNb2RuSe GGA-PBE optimized geometry" crystal_system=tetragonal formation_energy_uncorrected_ev_per_atom=1.534 pbc="T T T"
Ru 2.4019 2.8308 2.4019
Nb 0.0000 0.0000 2.4019
Nb 2.4019 0.0000 0.0000
Se 0.0000 0.0000 0.0000
Rb 0.0000 2.8308 0.0000

=====

5
Lattice="-2.1257 -1.3882 4.1106 3.7494 -2.8910 0.9626 2.1831 3.6135 2.3493" Properties=species:S:1:pos:R:3 comment="RbNb3S GGA-PBE optimized geometry" crystal_system=cubic formation_energy_uncorrected_ev_per_atom=2.895 e_above_lowest_polymorph_ev_per_fu=10.274 pbc="T T T"
Nb 1.8747 -1.4455 0.4813
Nb 1.0915 1.8068 1.1746
Nb -1.0629 -0.6941 2.0553
S 1.9034 -0.3328 3.7112
Rb 0.0000 0.0000 0.0000

=====

10
Lattice="3.8634 0.0000 7.2605 -1.9317 3.3458 7.2605 -1.9317 -3.3458 7.2605" Properties=species:S:1:pos:R:3 comment="RbNbS3 GGA-PBE optimized geometry" crystal_system=trigonal formation_energy_uncorrected_ev_per_atom=-1.033 e_above_lowest_polymorph_ev_per_fu=0.254 pbc="T T T"
Nb 0.0000 0.0000 7.5149
Nb 0.0000 0.0000 14.2665
S 0.7577 -1.8730 8.7772
S -2.0009 0.2803 8.7771
S -1.2432 -1.5927 13.0043
S 2.0009 -0.2803 13.0043
S -0.7577 1.8730 13.0043
S 1.2432 1.5927 8.7772
Rb 0.0000 0.0000 2.7086
Rb 0.0000 0.0000 19.0729

=====

15
Lattice="4.8844 -8.4601 0.0000 4.8844 8.4601 0.0000 0.0000 0.0000 3.4167" Properties=species:S:1:pos:R:3 comment="RbNb6S8 GGA-PBE optimized geometry" crystal_system=trigonal formation_energy_uncorrected_ev_per_atom=-1.144 e_above_lowest_polymorph_ev_per_fu=0.000 pbc="T T T"
Rb 0.0000 0.0000 1.7083
Nb 4.2089 -0.9396 2.5592
Nb 3.5937 -4.3453 2.5592
Nb 6.8507 -3.1752 2.5592
Nb 5.5600 0.9396 0.8575
Nb 6.1751 4.3453 0.8575
Nb 2.9182 3.1752 0.8575
S 4.8844 2.8200 2.5650
S 4.8844 -2.8200 0.8517
S 1.9853 -2.4497 2.5715
S 6.0133 -5.5159 2.5715
S 6.6547 -0.4945 2.5715
S 7.7836 2.4497 0.8452
S 3.7555 5.5159 0.8452
S 3.1142 0.4945 0.8452

=====

10
Lattice="-0.8066 2.5144 8.4334 -5.0665 -4.9769 -5.2590 3.6402 -5.9474 2.1214" Properties=species:S:1:pos:R:3 comment="RbNbS3 GGA-PBE optimized geometry" crystal_system=orthorhombic formation_energy_uncorrected_ev_per_atom=-0.924 e_above_lowest_polymorph_ev_per_fu=0.800 pbc="T T T"
Nb -3.7697 -5.7836 -3.4856
Nb 1.5368 -2.6262 8.7814
S 0.1395 -0.8364 3.6762
S -2.7387 -2.0431 5.2318
S 0.5058 -6.3667 0.0640
S -2.3723 -7.5734 1.6196
S 0.0000 0.0000 0.0000
S 1.8201 -2.9737 1.0607
Rb -2.6871 -3.8797 -0.0057
Rb 0.4542 -4.5301 5.3015

=====

9
Lattice="-5.6596 -6.4928 -0.1608 6.6135 0.6678 5.4799 -1.6203 7.9060 3.0139" Properties=species:S:1:pos:R:3 comment="Rb4NbS4 GGA-PBE optimized geometry" crystal_system=tetragonal formation_energy_uncorrected_ev_per_atom=-1.050 pbc="T T T"
Rb 0.4770 -2.9125 2.6595
Rb -3.6399 0.7066 1.4266
Rb 3.4746 5.9661 5.9105
Rb 1.5186 2.6076 2.5833
Nb 0.0000 0.0000 0.0000
S 0.9288 3.7175 7.8105
S -0.7269 5.7864 2.5612
S -0.5673 0.1284 2.2710
S 4.6923 1.0225 4.1842

=====

10
Lattice="-2.3196 0.1503 4.3668 0.4636 -4.9076 0.4151 9.4319 -0.9388 7.8444" Properties=species:S:1:pos:R:3 comment="RbNbS3 GGA-PBE optimized geometry" crystal_system=tetragonal formation_energy_uncorrected_ev_per_atom=-0.029 e_above_lowest_polymorph_ev_per_fu=5.277 pbc="T T T"
Nb 4.2675 -1.4202 7.9197
Nb 1.9169 -1.7469 6.6824
S 2.3406 -4.5078 3.0453
S 7.2006 -4.7598 6.7906
S 7.0095 -2.7366 6.6195
S 1.3844 -4.4458 4.8456
S 3.1228 -1.8157 4.5233
S 4.4532 -3.8804 8.1030
Rb 0.0000 0.0000 0.0000
Rb 4.4838 -4.1125 5.3252

=====

Here are the calculated calculated density numbers, same order: 5.0; 6.8; 8.1; 4.7; 4.6; 5.7; 5.8; 3.2; 5.3; 2.2; 2.3; 3.2 (g cm⁻³).